(1)
VASP calculation (GGA-PBE) on a relaxed structure of CsCdPt.

Computed properties:
The value obtained for the density of states at the Fermi level is 0.26 states/eV per atom. As for the calculated formation energy: -162 meV/atom. Its total moment is 0.0 μB per formula unit. Its electronic total energy is -2.765 eV per atom. Its distance to the lowest polymorph of the same formula is 0 meV per atom.

a b c (Å): 7.610 7.050 8.022
angles (deg): 90.00 91.17 90.00
Fractional positions:
Cs1 0.246 0.000 0.335
Cs2 0.254 0.500 0.665
Cs3 0.746 0.500 0.335
Cs4 0.754 0.000 0.665
Cd1 0.197 0.500 0.096
Cd2 0.303 0.000 0.904
Cd3 0.697 0.000 0.096
Cd4 0.803 0.500 0.904
Pt1 0.000 0.190 0.000
Pt2 0.000 0.810 0.000
Pt3 0.500 0.310 0.000
Pt4 0.500 0.690 0.000


(2)
VASP calculation (GGA-PBE) on a relaxed structure of CaCdRhPb2.

Computed properties:
The value obtained for the density of states at the Fermi level is 0.77 states/eV per atom. As for the calculated formation energy: -134 meV/atom. Its total moment is 0.0 μB per formula unit. Its electronic total energy is -3.671 eV per atom.

a b c (Å): 5.285 5.285 5.354
angles (deg): 90.00 90.00 90.00
Fractional positions:
Ca1 0.000 0.000 0.000
Cd1 0.500 0.500 0.000
Rh1 0.000 0.000 0.500
Pb1 0.000 0.500 0.500
Pb2 0.500 0.000 0.500


(3)
VASP calculation (GGA-PBE) on a relaxed structure of Pm2Ga3Cu4Ag.

Computed properties:
The value obtained for the density of states at the Fermi level is 0.56 states/eV per atom. As for the calculated formation energy: -345 meV/atom. Its total moment is 0.0 μB per formula unit. Its electronic total energy is -4.127 eV per atom.

a b c (Å): 4.197 4.197 10.417
angles (deg): 90.00 90.00 90.00
Fractional positions:
Pm1 0.000 0.500 0.236
Pm2 0.500 0.000 0.764
Ga1 0.000 0.500 0.875
Ga2 0.500 0.000 0.125
Ga3 0.500 0.500 0.500
Cu1 0.000 0.000 0.000
Cu2 0.000 0.500 0.644
Cu3 0.500 0.000 0.356
Cu4 0.500 0.500 0.000
Ag1 0.000 0.000 0.500


(4)
VASP calculation (GGA-PBE) on a relaxed structure of ScTaI2O.

Computed properties:
The value obtained for the density of states at the Fermi level is 0.45 states/eV per atom. Its total moment is 3.0 μB per formula unit. Its electronic total energy is -5.582 eV per atom. Its distance to the lowest polymorph of the same formula is 150 meV per atom.

a b c (Å): 5.850 5.850 3.787
angles (deg): 90.00 90.00 90.00
Fractional positions:
Sc1 0.000 0.000 0.000
Ta1 0.500 0.500 0.500
I1 0.000 0.500 0.000
I2 0.500 0.000 0.000
O1 0.000 0.000 0.500


(5)
VASP calculation (GGA-PBE) on a relaxed structure of Ca2SnHg4Bi2.

Computed properties:
The value obtained for the density of states at the Fermi level is 0.74 states/eV per atom. As for the calculated formation energy: -165 meV/atom. Its total moment is 0.0 μB per formula unit. Its electronic total energy is -2.052 eV per atom.

a b c (Å): 7.447 7.447 7.447
angles (deg): 124.64 124.64 82.14
Fractional positions:
Ca1 0.221 0.221 0.000
Ca2 0.779 0.779 0.000
Sn1 0.500 0.500 0.000
Hg1 0.215 0.215 0.430
Hg2 0.215 0.785 0.000
Hg3 0.785 0.215 0.000
Hg4 0.785 0.785 0.570
Bi1 0.250 0.750 0.500
Bi2 0.750 0.250 0.500


(6)
VASP calculation (GGA-PBE) on a relaxed structure of SrGeS2.

Computed properties:
The value obtained for the density of states at the Fermi level is 0.00 states/eV per atom. Its total moment is 0.0 μB per formula unit. Its electronic total energy is -4.544 eV per atom.

a b c (Å): 6.182 6.182 13.343
angles (deg): 90.00 90.00 90.00
Fractional positions:
Sr1 0.000 0.000 0.000
Sr2 0.000 0.500 0.250
Sr3 0.500 0.000 0.750
Sr4 0.500 0.500 0.500
Ge1 0.000 0.000 0.500
Ge2 0.000 0.500 0.750
Ge3 0.500 0.000 0.250
Ge4 0.500 0.500 0.000
S1 0.210 0.250 0.625
S2 0.250 0.710 0.875
S3 0.250 0.790 0.375
S4 0.290 0.250 0.125
S5 0.710 0.750 0.125
S6 0.750 0.210 0.375
S7 0.750 0.290 0.875
S8 0.790 0.750 0.625


(7)
VASP calculation (GGA-PBE) on a relaxed structure of Tb5Eu3I12.

Computed properties:
The value obtained for the density of states at the Fermi level is 0.93 states/eV per atom. Its total moment is 29.1 μB per formula unit. Its electronic total energy is -4.440 eV per atom.

a b c (Å): 16.233 16.233 16.233
angles (deg): 109.47 109.47 109.47
Fractional positions:
Tb1 0.000 0.000 0.000
Tb2 0.000 0.000 0.500
Tb3 0.000 0.500 0.000
Tb4 0.000 0.500 0.500
Tb5 0.125 0.750 0.875
Tb6 0.125 0.875 0.250
Tb7 0.250 0.125 0.875
Tb8 0.250 0.625 0.375
Tb9 0.375 0.250 0.625
Tb10 0.375 0.625 0.750
Tb11 0.500 0.000 0.000
Tb12 0.500 0.000 0.500
Tb13 0.500 0.500 0.000
Tb14 0.500 0.500 0.500
Tb15 0.625 0.375 0.250
Tb16 0.625 0.750 0.375
Tb17 0.750 0.375 0.625
Tb18 0.750 0.875 0.125
Tb19 0.875 0.125 0.750
Tb20 0.875 0.250 0.125
Eu1 0.125 0.250 0.375
Eu2 0.125 0.375 0.750
Eu3 0.250 0.375 0.125
Eu4 0.250 0.875 0.625
Eu5 0.375 0.125 0.250
Eu6 0.375 0.750 0.125
Eu7 0.625 0.250 0.875
Eu8 0.625 0.875 0.750
Eu9 0.750 0.125 0.375
Eu10 0.750 0.625 0.875
Eu11 0.875 0.625 0.250
Eu12 0.875 0.750 0.625
I1 0.048 0.219 0.128
I2 0.048 0.329 0.920
I3 0.080 0.628 0.409
I4 0.080 0.952 0.671
I5 0.091 0.719 0.671
I6 0.091 0.872 0.420
I7 0.128 0.048 0.219
I8 0.128 0.580 0.909
I9 0.171 0.219 0.591
I10 0.171 0.452 0.580
I11 0.219 0.128 0.048
I12 0.219 0.591 0.171
I13 0.281 0.329 0.909
I14 0.281 0.452 0.372
I15 0.329 0.909 0.281
I16 0.329 0.920 0.048
I17 0.372 0.281 0.452
I18 0.372 0.591 0.920
I19 0.409 0.080 0.628
I20 0.409 0.829 0.781
I21 0.420 0.091 0.872
I22 0.420 0.829 0.548
I23 0.452 0.372 0.281
I24 0.452 0.580 0.171
I25 0.548 0.420 0.829
I26 0.548 0.628 0.719
I27 0.580 0.171 0.452
I28 0.580 0.909 0.128
I29 0.591 0.171 0.219
I30 0.591 0.920 0.372
I31 0.628 0.409 0.080
I32 0.628 0.719 0.548
I33 0.671 0.080 0.952
I34 0.671 0.091 0.719
I35 0.719 0.548 0.628
I36 0.719 0.671 0.091
I37 0.781 0.409 0.829
I38 0.781 0.872 0.952
I39 0.829 0.548 0.420
I40 0.829 0.781 0.409
I41 0.872 0.420 0.091
I42 0.872 0.952 0.781
I43 0.909 0.128 0.580
I44 0.909 0.281 0.329
I45 0.920 0.048 0.329
I46 0.920 0.372 0.591
I47 0.952 0.671 0.080
I48 0.952 0.781 0.872


(8)
VASP calculation (GGA-PBE) on a relaxed structure of NaAc2Sn4Rh3.

Computed properties:
The value obtained for the density of states at the Fermi level is 0.72 states/eV per atom. As for the calculated formation energy: -574 meV/atom. Its total moment is 0.0 μB per formula unit. Its electronic total energy is -5.335 eV per atom.

a b c (Å): 4.677 4.677 11.088
angles (deg): 90.00 90.00 90.00
Fractional positions:
Na1 0.000 0.000 0.000
Ac1 0.000 0.500 0.742
Ac2 0.500 0.000 0.258
Sn1 0.000 0.000 0.500
Sn2 0.000 0.500 0.139
Sn3 0.500 0.000 0.861
Sn4 0.500 0.500 0.500
Rh1 0.000 0.500 0.377
Rh2 0.500 0.000 0.623
Rh3 0.500 0.500 0.000